The following is a DFT calculation (PBE-GGA) of a relaxed In3MoH crystal.

Cell and atoms, written as POSCAR:
```
In3MoH
1.0
4.450 0.000 0.000
0.000 4.450 0.000
0.000 0.000 4.450
In Mo H
3 1 1
Direct
0.000 0.000 0.500
0.000 0.500 0.000
0.500 0.000 0.000
0.500 0.500 0.500
0.000 0.000 0.000
```

E = -3.924 eV per atom
ΔE to the lowest computed polymorph = 0.0 kJ per mole of atoms

***

The following is a DFT calculation (PBE-GGA) of a relaxed YNbI2N crystal.

Cell and atoms, written as POSCAR:
```
YNbI2N
1.0
5.774 0.000 0.000
0.000 5.774 0.000
0.000 0.000 3.940
Y Nb I N
1 1 2 1
Direct
0.000 0.000 0.000
0.500 0.500 0.500
0.000 0.500 0.500
0.500 0.000 0.500
0.500 0.500 0.000
```

Raw formation energy = -1.620 kcal/mol of atoms
E = -5.662 eV per atom
ΔE to the lowest computed polymorph = 0.0 kJ per mole of atoms